Record 1
Entry from Alexandria via LeMat-Bulk: a relaxed K3Nd3ZrSe8 crystal (PBE-GGA).

Results
Space-group type: R-3m (166)
Total moment, μB per atom: 0.00
E_tot, eV per atom: -5.263

Unit cell a=8.479 b=8.479 c=9.247 alpha=117.31 beta=90.00 gamma=120.00
Fractional positions:
1 Se 0.263 0.525 0.288
2 K 0.500 0.500 0.000
3 Se 0.221 0.978 0.699
4 Nd 0.000 0.500 0.500
5 Nd 0.500 0.000 0.500
6 Se 0.737 0.475 0.712
7 K 0.000 0.500 0.000
8 K 0.000 0.000 0.000
9 Zr 0.000 0.000 0.500
10 Se 0.756 0.978 0.699
11 Se 0.244 0.022 0.301
12 Nd 0.500 0.500 0.500
13 Se 0.221 0.443 0.699
14 Se 0.779 0.557 0.301
15 Se 0.779 0.022 0.301

---

Record 2
Entry from Alexandria via LeMat-Bulk: a relaxed K2NdZrSe4 crystal (PBE-GGA).

Results
Space-group type: P2/m (10)
Total moment, μB per atom: 0.00
DOS at the Fermi energy, states/eV/atom: 0.42
E_tot, eV per atom: -5.191

Unit cell a=4.113 b=7.194 c=8.104 alpha=106.86 beta=90.00 gamma=90.00
Fractional positions:
1 Se 0.000 0.283 0.797
2 Se 0.000 0.717 0.203
3 Zr 0.500 0.500 0.000
4 K 0.500 0.000 0.500
5 Se 0.500 0.744 0.789
6 Se 0.500 0.256 0.211
7 K 0.000 0.500 0.500
8 Nd 0.000 0.000 0.000

---

Record 3
Entry from Alexandria via LeMat-Bulk: a relaxed K2NdSmTe4 crystal (PBE-GGA).

Results
Space-group type: P2/m (10)
Total moment, μB per atom: 0.00
E_tot, eV per atom: -4.446

Unit cell a=4.597 b=7.960 c=8.671 alpha=107.79 beta=90.00 gamma=90.00
Fractional positions:
1 Te 0.500 0.760 0.786
2 Te 0.000 0.265 0.787
3 Nd 0.000 0.000 0.000
4 Te 0.000 0.735 0.213
5 Te 0.500 0.240 0.214
6 K 0.500 0.000 0.500
7 K 0.000 0.500 0.500
8 Sm 0.500 0.500 0.000